VASP calculation (meta-GGA SCAN) on a crystal of CaTaAs2 relaxed with PBEsol.

Unit cell a=4.492 b=3.467 c=9.794 alpha=90.00 beta=90.00 gamma=90.00
Space group Amm2 (No. 38)
Unique sites:
Ca 0.000 0.000 0.000 [2 per cell]
Ta 0.500 0.000 0.260 [2 per cell]
As 0.000 0.000 0.730 [2 per cell]
As 0.500 0.000 0.539 [2 per cell]

## Properties
* ΔE to the lowest computed polymorph: 173.4 kJ/mol of formula units
* E: -236.013 eV for the cell shown
* energy relative to the elements: -1.4 eV/f.u.

VASP calculation (meta-GGA SCAN) on a crystal of ScRu3Pt relaxed with PBEsol.

Unit cell a=4.428 b=4.428 c=4.428 alpha=90.00 beta=90.00 gamma=90.00
Space group Pm-3m (No. 221)
Unique sites:
Sc 0.000 0.000 0.000 [1 per cell]
Ru 0.000 0.000 0.500 [3 per cell]
Pt 0.500 0.500 0.500 [1 per cell]

## Properties
* E: -180.162 eV for the cell shown
* energy relative to the elements: 8.7 eV/f.u.

VASP calculation (meta-GGA SCAN) on a crystal of NaH3Ir relaxed with PBEsol.

Unit cell a=3.524 b=3.524 c=3.524 alpha=90.00 beta=90.00 gamma=90.00
Space group Pm-3m (No. 221)
Unique sites:
Na 0.000 0.000 0.000 [1 per cell]
H 0.000 0.500 0.500 [3 per cell]
Ir 0.500 0.500 0.500 [1 per cell]

## Properties
* E: -86.832 eV for the cell shown

VASP calculation (meta-GGA SCAN) on a crystal of TcAg2W relaxed with PBEsol.

Unit cell a=6.299 b=6.299 c=6.299 alpha=90.00 beta=90.00 gamma=90.00
Space group F-43m (No. 216)
Unique sites:
Tc 0.000 0.000 0.000 [4 per cell]
Ag 0.000 0.000 0.500 [4 per cell]
Ag 0.250 0.250 0.250 [4 per cell]
W 0.250 0.250 0.750 [4 per cell]

## Properties
* ΔE to the lowest computed polymorph: 0.0 kJ/mol of formula units
* E: -658.322 eV for the cell shown
* energy relative to the elements: 2.9 eV/f.u.

VASP calculation (meta-GGA SCAN) on a crystal of Ba2Mo2F11 relaxed with PBEsol.

Unit cell a=8.1700 b=8.1700 c=13.4771 alpha=90.00 beta=90.00 gamma=120.00
Space group P3_2 (No. 145)
Unique sites:
Ba 0.0054 0.4977 0.0000 [3 per cell]
Ba 0.0294 0.9398 0.8331 [3 per cell]
Mo 0.0744 0.6079 0.5991 [3 per cell]
Mo 0.4233 0.2169 0.0885 [3 per cell]
F 0.0032 0.7994 0.0182 [3 per cell]
F 0.0360 0.8138 0.6468 [3 per cell]
F 0.0783 0.7070 0.4565 [3 per cell]
F 0.1426 0.4328 0.5354 [3 per cell]
F 0.2502 0.0062 0.1769 [3 per cell]
F 0.2726 0.6095 0.3083 [3 per cell]
F 0.3002 0.1645 0.9625 [3 per cell]
F 0.3676 0.1015 0.4661 [3 per cell]
F 0.5092 0.0214 0.0681 [3 per cell]
F 0.5358 0.3238 0.2269 [3 per cell]
F 0.5689 0.2199 0.7075 [3 per cell]

## Properties
* E: -701.842 eV for the cell shown
* formation energy without anion corrections: -3.076 eV per atom

VASP calculation (meta-GGA SCAN) on a crystal of Zn2FeTc relaxed with PBEsol.

Unit cell a=2.530 b=3.934 c=5.201 alpha=90.00 beta=90.00 gamma=90.00
Space group Pmmm (No. 47)
Unique sites:
Zn 0.000 0.000 0.243 [2 per cell]
Fe 0.500 0.500 0.000 [1 per cell]
Tc 0.500 0.500 0.500 [1 per cell]

## Properties
* ΔE to the lowest computed polymorph: 5.6 kJ/mol of formula units
* E: -80.062 eV for the cell shown
* energy relative to the elements: 0.2 eV/f.u.

VASP calculation (meta-GGA SCAN) on a crystal of PrTlCd relaxed with PBEsol.

Unit cell a=4.9417 b=4.9417 c=7.3935 alpha=90.00 beta=90.00 gamma=120.00
Space group P6_3/mmc (No. 194)
Unique sites:
Pr 0.0000 0.0000 0.0000 [2 per cell]
Tl 0.3333 0.6667 0.2500 [2 per cell]
Cd 0.3333 0.6667 0.7500 [2 per cell]

## Properties
* E: -295.254 eV for the cell shown
* energy relative to the elements: -1.5 eV/f.u.

VASP calculation (meta-GGA SCAN) on a crystal of CuAs2Br relaxed with PBEsol.

Unit cell a=3.046 b=4.530 c=5.303 alpha=90.00 beta=90.00 gamma=90.00
Space group Pmmm (No. 47)
Unique sites:
Cu 0.000 0.000 0.000 [1 per cell]
As 0.000 0.500 0.500 [1 per cell]
As 0.500 0.500 0.000 [1 per cell]
Br 0.500 0.000 0.500 [1 per cell]

## Properties
* E: -72.822 eV for the cell shown
* formation energy without anion corrections: 0.554 eV per atom

VASP calculation (meta-GGA SCAN) on a crystal of Zn2Os relaxed with PBEsol.

Unit cell a=9.698 b=2.775 c=6.275 alpha=90.00 beta=104.20 gamma=90.00
Space group Cm (No. 8)
Unique sites:
Zn 0.000 0.000 0.000 [2 per cell]
Zn 0.044 0.000 0.606 [2 per cell]
Zn 0.222 0.500 0.946 [2 per cell]
Zn 0.388 0.000 0.273 [2 per cell]
Os 0.167 0.500 0.337 [2 per cell]
Os 0.322 0.000 0.660 [2 per cell]

## Properties
* E: -394.748 eV for the cell shown
* energy relative to the elements: 0.2 eV/f.u.

VASP calculation (meta-GGA SCAN) on a crystal of CdHgS2 relaxed with PBEsol.

Unit cell a=6.735 b=6.735 c=6.735 alpha=90.00 beta=90.00 gamma=90.00
Space group Fm-3m (No. 225)
Unique sites:
Cd 0.000 0.000 0.000 [4 per cell]
Hg 0.000 0.000 0.500 [4 per cell]
S 0.250 0.250 0.250 [8 per cell]

## Properties
* ΔE to the lowest computed polymorph: 263.7 kJ/mol of formula units
* E: -467.570 eV for the cell shown
* formation energy without anion corrections: 0.236 eV per atom

VASP calculation (meta-GGA SCAN) on a crystal of TaSbTe2Se relaxed with PBEsol.

Unit cell a=5.253 b=5.253 c=5.133 alpha=90.00 beta=90.00 gamma=90.00
Space group P4/mmm (No. 123)
Unique sites:
Ta 0.000 0.000 0.000 [1 per cell]
Sb 0.500 0.500 0.000 [1 per cell]
Te 0.000 0.500 0.500 [2 per cell]
Se 0.500 0.500 0.500 [1 per cell]

## Properties
* E: -191.906 eV for the cell shown
* formation energy without anion corrections: 1.304 eV per atom

VASP calculation (meta-GGA SCAN) on a crystal of Cd2AuI2 relaxed with PBEsol.

Unit cell a=5.407 b=5.407 c=11.095 alpha=90.00 beta=90.00 gamma=90.00
Space group I4/mmm (No. 139)
Unique sites:
Cd 0.000 0.500 0.250 [4 per cell]
Au 0.000 0.000 0.000 [2 per cell]
I 0.000 0.000 0.345 [4 per cell]

## Properties
* E: -403.715 eV for the cell shown
* formation energy without anion corrections: 0.322 eV per atom

Question: The lowest E belongs to which entry?
Answer: Ba2Mo2F11